No. 1
! SmDy3Ho5, relaxed, DFT PBE; values from VASP
&SYSTEM
  ibrav = 0, nat = 18, ntyp = 3
/
ATOMIC_SPECIES
Sm 150.36 Sm.upf
Dy 162.50 Dy.upf
Ho 164.93 Ho.upf
CELL_PARAMETERS angstrom
8.5889 -3.0818 0.0000
8.5889 3.0818 0.0000
-0.0593 0.0000 11.2040
ATOMIC_POSITIONS crystal
Sm 0.1176 0.8824 0.7500
Sm 0.8824 0.1176 0.2500
Dy 0.0000 0.0000 0.0000
Dy 0.0000 0.0000 0.5000
Dy 0.1112 0.5599 0.9162
Dy 0.4401 0.8888 0.5838
Dy 0.5599 0.1112 0.4162
Dy 0.8888 0.4401 0.0838
Ho 0.0301 0.6232 0.2508
Ho 0.1096 0.5612 0.5851
Ho 0.3768 0.9699 0.2492
Ho 0.4068 0.5932 0.2500
Ho 0.4388 0.8904 0.9149
Ho 0.5612 0.1096 0.0851
Ho 0.5932 0.4068 0.7500
Ho 0.6232 0.0301 0.7508
Ho 0.8904 0.4388 0.4149
Ho 0.9699 0.3768 0.7492
! energy of formation from the pure elements: 0.32 eV/atom
! V: 593.1 Å³/cell
! offset from the most stable computed form: 0.0000 eV per atom
! ρ: 8189 kg/m3

***

No. 2
! Sm3Dy8Ho2, relaxed, DFT PBE; values from VASP
&SYSTEM
  ibrav = 0, nat = 13, ntyp = 3
/
ATOMIC_SPECIES
Sm 150.36 Sm.upf
Dy 162.50 Dy.upf
Ho 164.93 Ho.upf
CELL_PARAMETERS angstrom
7.6766 0.0000 0.0000
0.0000 5.6325 0.0000
-3.8297 0.0000 10.0274
ATOMIC_POSITIONS crystal
Sm 0.0000 0.0000 0.0000
Sm 0.2899 0.5000 0.9999
Sm 0.7101 0.5000 0.0001
Dy 0.1345 0.5000 0.2690
Dy 0.1816 0.0000 0.7824
Dy 0.3294 0.5000 0.6582
Dy 0.3994 0.0000 0.2177
Dy 0.6006 0.0000 0.7823
Dy 0.6706 0.5000 0.3418
Dy 0.8184 0.0000 0.2176
Dy 0.8655 0.5000 0.7310
Ho 0.2414 0.0000 0.4827
Ho 0.7586 0.0000 0.5173
! energy of formation from the pure elements: 0.24 eV/atom
! V: 433.6 Å³/cell
! offset from the most stable computed form: 0.2230 eV per atom
! ρ: 7970 kg/m3

***

No. 3
! Sm4Dy6Ho, relaxed, DFT PBE; values from VASP
&SYSTEM
  ibrav = 0, nat = 11, ntyp = 3
/
ATOMIC_SPECIES
Sm 150.36 Sm.upf
Dy 162.50 Dy.upf
Ho 164.93 Ho.upf
CELL_PARAMETERS angstrom
-3.3031 3.3031 8.5227
3.3031 -3.3031 8.5227
3.3031 3.3031 -8.5227
ATOMIC_POSITIONS crystal
Sm 0.1362 0.1362 0.6226
Sm 0.4864 0.8638 0.0000
Sm 0.5136 0.5136 0.3774
Sm 0.8638 0.4864 0.0000
Dy 0.0000 0.5000 0.5000
Dy 0.0510 0.6943 0.0000
Dy 0.3057 0.3057 0.3567
Dy 0.5000 0.0000 0.5000
Dy 0.6943 0.0510 0.0000
Dy 0.9490 0.9490 0.6433
Ho 0.5000 0.5000 0.0000
! energy of formation from the pure elements: 0.30 eV/atom
! V: 372.0 Å³/cell
! offset from the most stable computed form: 0.0000 eV per atom
! ρ: 7774 kg/m3

***

No. 4
! Sm2Dy3Ho, relaxed, DFT PBE; values from VASP
&SYSTEM
  ibrav = 0, nat = 12, ntyp = 3
/
ATOMIC_SPECIES
Sm 150.36 Sm.upf
Dy 162.50 Dy.upf
Ho 164.93 Ho.upf
CELL_PARAMETERS angstrom
7.4327 -4.8349 0.0000
7.4327 4.8349 0.0000
-2.4081 0.0000 5.4813
ATOMIC_POSITIONS crystal
Sm 0.0844 0.6489 0.6186
Sm 0.3511 0.9156 0.8814
Sm 0.6489 0.0844 0.1186
Sm 0.9156 0.3511 0.3814
Dy 0.1088 0.8912 0.2500
Dy 0.1844 0.3518 0.0130
Dy 0.3518 0.1844 0.5130
Dy 0.6482 0.8156 0.4870
Dy 0.8156 0.6482 0.9870
Dy 0.8912 0.1088 0.7500
Ho 0.5000 0.5000 0.0000
Ho 0.5000 0.5000 0.5000
! energy of formation from the pure elements: 0.16 eV/atom
! V: 394.0 Å³/cell
! offset from the most stable computed form: 0.0000 eV per atom
! ρ: 8035 kg/m3

***

No. 5
! SmDy12Ho6, relaxed, DFT PBE; values from VASP
&SYSTEM
  ibrav = 0, nat = 19, ntyp = 3
/
ATOMIC_SPECIES
Sm 150.36 Sm.upf
Dy 162.50 Dy.upf
Ho 164.93 Ho.upf
CELL_PARAMETERS angstrom
5.9265 3.4217 5.0364
-5.9265 3.4217 5.0364
0.0000 -6.8433 5.0364
ATOMIC_POSITIONS crystal
Sm 0.0000 0.0000 0.0000
Dy 0.0107 0.2070 0.3567
Dy 0.2070 0.3567 0.0107
Dy 0.2255 0.4573 0.5651
Dy 0.3567 0.0107 0.2070
Dy 0.4349 0.7745 0.5427
Dy 0.4573 0.5651 0.2255
Dy 0.5427 0.4349 0.7745
Dy 0.5651 0.2255 0.4573
Dy 0.6433 0.9893 0.7930
Dy 0.7745 0.5427 0.4349
Dy 0.7930 0.6433 0.9893
Dy 0.9893 0.7930 0.6433
Ho 0.0932 0.6899 0.2574
Ho 0.2574 0.0932 0.6899
Ho 0.3101 0.7426 0.9068
Ho 0.6899 0.2574 0.0932
Ho 0.7426 0.9068 0.3101
Ho 0.9068 0.3101 0.7426
! energy of formation from the pure elements: 0.16 eV/atom
! V: 612.8 Å³/cell
! offset from the most stable computed form: 0.0000 eV per atom
! ρ: 8373 kg/m3

***

No. 6
! Sm3DyHo6, relaxed, DFT PBE; values from VASP
&SYSTEM
  ibrav = 0, nat = 10, ntyp = 3
/
ATOMIC_SPECIES
Sm 150.36 Sm.upf
Dy 162.50 Dy.upf
Ho 164.93 Ho.upf
CELL_PARAMETERS angstrom
5.7383 -3.2807 0.0000
5.7383 3.2807 0.0000
-3.9032 0.0000 8.7553
ATOMIC_POSITIONS crystal
Sm 0.0000 0.0000 0.0000
Sm 0.0690 0.0690 0.6972
Sm 0.9310 0.9310 0.3028
Dy 0.5000 0.5000 0.5000
Ho 0.0665 0.5612 0.6905
Ho 0.3623 0.3623 0.0773
Ho 0.4388 0.9335 0.3095
Ho 0.5612 0.0665 0.6905
Ho 0.6377 0.6377 0.9227
Ho 0.9335 0.4388 0.3095
! energy of formation from the pure elements: 0.23 eV/atom
! V: 329.6 Å³/cell
! offset from the most stable computed form: 0.0752 eV per atom
! ρ: 8076 kg/m3

***

No. 7
! SmDy2Ho4, relaxed, DFT PBE; values from VASP
&SYSTEM
  ibrav = 0, nat = 7, ntyp = 3
/
ATOMIC_SPECIES
Sm 150.36 Sm.upf
Dy 162.50 Dy.upf
Ho 164.93 Ho.upf
CELL_PARAMETERS angstrom
8.3083 -1.7586 0.0000
8.3083 1.7586 0.0000
-4.2920 0.0000 7.5789
ATOMIC_POSITIONS crystal
Sm 0.0000 0.0000 0.0000
Dy 0.0701 0.0701 0.4298
Dy 0.9299 0.9299 0.5702
Ho 0.2949 0.2949 0.7060
Ho 0.3577 0.3577 0.1647
Ho 0.6423 0.6423 0.8353
Ho 0.7051 0.7051 0.2940
! energy of formation from the pure elements: 0.04 eV/atom
! V: 221.5 Å³/cell
! offset from the most stable computed form: 0.0000 eV per atom
! ρ: 8511 kg/m3

***

No. 8
! Sm2Dy3Ho6, relaxed, DFT PBE; values from VASP
&SYSTEM
  ibrav = 0, nat = 11, ntyp = 3
/
ATOMIC_SPECIES
Sm 150.36 Sm.upf
Dy 162.50 Dy.upf
Ho 164.93 Ho.upf
CELL_PARAMETERS angstrom
-2.3561 2.3561 16.5427
2.3561 -2.3561 16.5427
2.3561 2.3561 -16.5427
ATOMIC_POSITIONS crystal
Sm 0.0460 0.0460 0.0000
Sm 0.9540 0.9540 0.0000
Dy 0.2990 0.2990 0.0000
Dy 0.5000 0.5000 0.0000
Dy 0.7010 0.7010 0.0000
Ho 0.1217 0.6217 0.5000
Ho 0.1957 0.1957 0.0000
Ho 0.3783 0.8783 0.5000
Ho 0.6217 0.1217 0.5000
Ho 0.8043 0.8043 0.0000
Ho 0.8783 0.3783 0.5000
! energy of formation from the pure elements: 0.28 eV/atom
! V: 367.3 Å³/cell
! offset from the most stable computed form: 0.0886 eV per atom
! ρ: 8037 kg/m3